Entry 1:
A plane-wave DFT calculation with PBE-GGA was carried out for a relaxed SmNiAu crystal.

Lattice parameters (Å, degrees): 6.6503 6.6503 6.6503 90.00 90.00 90.00
Space group F-43m (No. 216)
Symmetry-distinct sites (fractional):
Sm1 0.0000 0.0000 0.0000 x4
Ni1 0.2500 0.2500 0.2500 x4
Au1 0.2500 0.2500 0.7500 x4

The value obtained for the formation energy from the elements is 0.012 eV/atom.

=====

Entry 2:
A plane-wave DFT calculation with PBE-GGA was carried out for a relaxed Pr2Al crystal.

Lattice parameters (Å, degrees): 13.1712 13.1712 13.1712 90.00 90.00 90.00
Space group Fd-3m (No. 227, origin choice 2)
Symmetry-distinct sites (fractional):
Pr1 0.0000 0.0000 0.0000 x16
Al1 0.1250 0.1250 0.1250 x8

The value obtained for the calculated total energy is -0.216 Ry per atom.